# 1
ZrZn7 (PBEsol, optimized geometry); magnetic moment = 0.00 μB/cell; formation energy = -69 meV/atom
1.0
2.8370 -4.3692 0.0000
2.8370 4.3692 0.0000
-2.7583 0.0000 5.0804
Zr Zn
1 7
Direct
0.0000 0.0000 0.0000
0.0000 0.0000 0.5000
0.1138 0.6151 0.2449
0.3849 0.8862 0.7551
0.5000 0.5000 0.0000
0.5000 0.5000 0.5000
0.6151 0.1138 0.2449
0.8862 0.3849 0.7551

# 2
Cr5Ir (PBEsol, optimized geometry); magnetic moment = 0.00 μB/cell; formation energy = 207 meV/atom
1.0
4.4153 0.0000 0.0000
-2.2076 3.8238 0.0000
0.0000 0.0000 4.2183
Cr Ir
5 1
Direct
0.0000 0.3394 0.0000
0.3333 0.6667 0.5000
0.3394 0.0000 0.0000
0.6606 0.6606 0.0000
0.6667 0.3333 0.5000
0.0000 0.0000 0.5000

# 3
Li2GaCuAu (PBEsol, optimized geometry); magnetic moment = 0.00 μB/cell; formation energy = 241 meV/atom
1.0
4.5992 0.0000 0.0000
0.0000 4.5992 0.0000
0.0000 0.0000 4.7951
Li Ga Cu Au
2 1 1 1
Direct
0.0000 0.5000 0.0000
0.5000 0.0000 0.0000
0.0000 0.0000 0.5000
0.5000 0.5000 0.5000
0.5000 0.5000 0.0000

# 4
AsSe3 (PBEsol, optimized geometry); magnetic moment = 0.00 μB/cell; formation energy without anion corrections = 0.39 eV per atom
1.0
0.0000 3.3727 3.3727
3.3727 0.0000 3.3727
3.3727 3.3727 0.0000
As Se
1 3
Direct
0.0000 0.0000 0.0000
0.2500 0.2500 0.2500
0.5000 0.5000 0.5000
0.7500 0.7500 0.7500

# 5
Sm3HoS4 (PBEsol, optimized geometry); magnetic moment = 0.00 μB/cell; formation energy without anion corrections = -2.12 eV per atom
1.0
1.9528 1.1275 12.9073
-1.9528 1.1275 12.9073
0.0000 -2.2549 12.9073
Sm Ho S
3 1 4
Direct
0.0000 0.0000 0.0000
0.2489 0.2489 0.2489
0.7511 0.7511 0.7511
0.5000 0.5000 0.5000
0.1276 0.1276 0.1276
0.3756 0.3756 0.3756
0.6244 0.6244 0.6244
0.8724 0.8724 0.8724

# 6
GdCd2 (PBEsol, optimized geometry); magnetic moment = 7.45 μB/cell; formation energy = -371 meV/atom
1.0
4.9248 0.0000 0.0000
-2.4624 4.2650 0.0000
0.0000 0.0000 3.3346
Gd Cd
1 2
Direct
0.0000 0.0000 0.0000
0.3333 0.6667 0.5000
0.6667 0.3333 0.5000

# 7
Hg2PbBr (PBEsol, optimized geometry); magnetic moment = 0.00 μB/cell; formation energy without anion corrections = -0.08 eV per atom
1.0
0.0000 3.7424 3.7424
3.7424 0.0000 3.7424
3.7424 3.7424 0.0000
Hg Pb Br
2 1 1
Direct
0.0000 0.0000 0.0000
0.2500 0.2500 0.2500
0.5000 0.5000 0.5000
0.7500 0.7500 0.7500

# 8
Ta2TiRe (PBEsol, optimized geometry); magnetic moment = 0.00 μB/cell; formation energy = -229 meV/atom
1.0
0.0000 3.1851 3.1851
3.1851 0.0000 3.1851
3.1851 3.1851 0.0000
Ta Ti Re
2 1 1
Direct
0.2500 0.2500 0.2500
0.7500 0.7500 0.7500
0.0000 0.0000 0.0000
0.5000 0.5000 0.5000

# 9
YInGeRh2 (PBEsol, optimized geometry); magnetic moment = 0.00 μB/cell; formation energy = 991 meV/atom
1.0
4.7948 0.0000 0.0000
0.0000 4.7948 0.0000
0.0000 0.0000 5.2622
Y In Ge Rh
1 1 1 2
Direct
0.0000 0.0000 0.0000
0.5000 0.5000 0.5000
0.0000 0.0000 0.5000
0.0000 0.5000 0.0000
0.5000 0.0000 0.0000

# 10
Cu3AsS3 (PBEsol, optimized geometry); magnetic moment = 0.00 μB/cell; formation energy without anion corrections = -0.19 eV per atom
1.0
-4.8908 4.8908 4.8908
4.8908 -4.8908 4.8908
4.8908 4.8908 -4.8908
Cu As S
12 4 12
Direct
0.0000 0.1818 0.1818
0.0000 0.8182 0.8182
0.1818 0.0000 0.1818
0.1818 0.1818 0.0000
0.2500 0.5000 0.7500
0.2500 0.7500 0.5000
0.5000 0.2500 0.7500
0.5000 0.7500 0.2500
0.7500 0.2500 0.5000
0.7500 0.5000 0.2500
0.8182 0.0000 0.8182
0.8182 0.8182 0.0000
0.0000 0.0000 0.4694
0.0000 0.4694 0.0000
0.4694 0.0000 0.0000
0.5306 0.5306 0.5306
0.0000 0.5337 0.7608
0.0000 0.7608 0.5337
0.2271 0.4663 0.4663
0.2392 0.2392 0.7729
0.2392 0.7729 0.2392
0.4663 0.2271 0.4663
0.4663 0.4663 0.2271
0.5337 0.0000 0.7608
0.5337 0.7608 0.0000
0.7608 0.0000 0.5337
0.7608 0.5337 0.0000
0.7729 0.2392 0.2392

# 11
Ba2SnSe4 (PBEsol, optimized geometry); magnetic moment = 0.00 μB/cell; formation energy without anion corrections = -1.35 eV per atom
1.0
8.4692 0.0000 0.0000
0.0000 9.3142 0.0000
-5.0779 0.0000 11.2365
Ba Sn Se
8 4 16
Direct
0.0341 0.1434 0.3385
0.0341 0.3566 0.8385
0.4030 0.1159 0.1536
0.4030 0.3841 0.6536
0.5970 0.6159 0.3464
0.5970 0.8841 0.8464
0.9659 0.6434 0.1615
0.9659 0.8566 0.6615
0.3072 0.6857 0.9949
0.3072 0.8143 0.4949
0.6928 0.1857 0.5051
0.6928 0.3143 0.0051
0.0735 0.6292 0.4629
0.0735 0.8708 0.9629
0.2584 0.6226 0.7829
0.2584 0.8774 0.2829
0.2673 0.0257 0.6121
0.2673 0.4743 0.1121
0.4036 0.1881 0.8886
0.4036 0.3119 0.3886
0.5964 0.6881 0.6114
0.5964 0.8119 0.1114
0.7327 0.5257 0.8879
0.7327 0.9743 0.3879
0.7416 0.1226 0.7171
0.7416 0.3774 0.2171
0.9265 0.1292 0.0371
0.9265 0.3708 0.5371

# 12
CdIBr (PBEsol, optimized geometry); magnetic moment = 0.00 μB/cell; formation energy without anion corrections = -0.68 eV per atom
1.0
2.0532 1.1854 13.1971
-2.0532 1.1854 13.1971
0.0000 -2.3708 13.1971
Cd I Br
2 2 2
Direct
0.0000 0.0000 0.0000
0.4997 0.4997 0.4997
0.6228 0.6228 0.6228
0.7891 0.7891 0.7891
0.2047 0.2047 0.2047
0.3716 0.3716 0.3716

# 13
AgTeSe (PBEsol, optimized geometry); magnetic moment = 0.00 μB/cell; formation energy without anion corrections = 0.01 eV per atom
1.0
4.0224 0.0000 0.0000
-2.0112 3.4835 0.0000
0.0000 0.0000 4.8714
Ag Te Se
1 1 1
Direct
0.0000 0.0000 0.0000
0.6667 0.3333 0.3166
0.3333 0.6667 0.7257

# 14
FeIF3 (PBEsol, optimized geometry); magnetic moment = 6.01 μB/cell; formation energy without anion corrections = -1.17 eV per atom
1.0
4.1594 0.0000 0.0000
0.0000 4.1594 0.0000
0.0000 0.0000 4.1594
Fe I F
1 1 3
Direct
0.0000 0.0000 0.0000
0.5000 0.5000 0.5000
0.0000 0.0000 0.5000
0.0000 0.5000 0.0000
0.5000 0.0000 0.0000

# 15
TaCuSi2 (PBEsol, optimized geometry); magnetic moment = 0.00 μB/cell; formation energy without anion corrections = -0.08 eV per atom
1.0
4.4828 0.0000 0.0000
0.0000 4.4828 0.0000
0.0000 0.0000 2.8086
Ta Cu Si
1 1 2
Direct
0.0000 0.0000 0.0000
0.5000 0.5000 0.0000
0.0000 0.5000 0.5000
0.5000 0.0000 0.5000

# 16
Cd8Cu (PBEsol, optimized geometry); magnetic moment = 0.00 μB/cell; formation energy = 57 meV/atom
1.0
-4.5494 4.5494 2.1321
4.5494 -4.5494 2.1321
4.5494 4.5494 -2.1321
Cd Cu
8 1
Direct
0.0000 0.3264 0.3264
0.0000 0.6736 0.6736
0.3264 0.0000 0.3264
0.3397 0.3397 0.6794
0.3397 0.6603 0.0000
0.6603 0.3397 0.0000
0.6603 0.6603 0.3206
0.6736 0.0000 0.6736
0.0000 0.0000 0.0000

# 17
MnTl2RuO (PBEsol, optimized geometry); magnetic moment = 4.46 μB/cell; formation energy without anion corrections = 0.22 eV per atom
1.0
4.9042 0.0000 0.0000
0.0000 4.9042 0.0000
0.0000 0.0000 3.6229
Mn Tl Ru O
1 2 1 1
Direct
0.0000 0.0000 0.0000
0.0000 0.5000 0.5000
0.5000 0.0000 0.5000
0.5000 0.5000 0.0000
0.0000 0.0000 0.5000

# 18
Bi3PW (PBEsol, optimized geometry); magnetic moment = 0.07 μB/cell; formation energy = 1053 meV/atom
1.0
5.2636 0.0000 0.0000
0.0000 5.2636 0.0000
0.0000 0.0000 5.2636
Bi P W
3 1 1
Direct
0.0000 0.0000 0.5000
0.0000 0.5000 0.0000
0.5000 0.0000 0.0000
0.5000 0.5000 0.5000
0.0000 0.0000 0.0000

# 19
CdAs (PBEsol, optimized geometry); magnetic moment = 0.00 μB/cell; formation energy = 217 meV/atom
1.0
1.9822 -2.4504 0.0000
1.9822 2.4504 0.0000
0.0000 0.0000 4.2044
Cd As
1 1
Direct
0.0000 0.0000 0.0000
0.5000 0.5000 0.5000

# 20
B3RuS (PBEsol, optimized geometry); magnetic moment = 0.00 μB/cell; formation energy without anion corrections = 1.42 eV per atom
1.0
4.0546 0.0000 0.0000
0.0000 4.0546 0.0000
0.0000 0.0000 4.0546
B Ru S
3 1 1
Direct
0.0000 0.0000 0.5000
0.0000 0.5000 0.0000
0.5000 0.0000 0.0000
0.0000 0.0000 0.0000
0.5000 0.5000 0.5000

# 21
Ni2RhCl (PBEsol, optimized geometry); magnetic moment = 2.65 μB/cell; formation energy without anion corrections = 0.61 eV per atom
1.0
-1.9255 1.9255 3.4258
1.9255 -1.9255 3.4258
1.9255 1.9255 -3.4258
Ni Rh Cl
2 1 1
Direct
0.0000 0.0000 0.0000
0.7500 0.2500 0.5000
0.5000 0.5000 0.0000
0.2500 0.7500 0.5000

# 22
ZrNbCN (PBEsol, optimized geometry); magnetic moment = 0.00 μB/cell; formation energy without anion corrections = -1.18 eV per atom
1.0
1.5959 0.9214 5.2462
-1.5959 0.9214 5.2462
0.0000 -1.8428 5.2462
Zr Nb C N
1 1 1 1
Direct
0.0000 0.0000 0.0000
0.5042 0.5042 0.5042
0.2492 0.2492 0.2492
0.7531 0.7531 0.7531

# 23
BaSeIN2 (PBEsol, optimized geometry); magnetic moment = 0.70 μB/cell; formation energy without anion corrections = 0.69 eV per atom
1.0
4.3688 0.0000 0.0000
0.0000 4.3688 0.0000
0.0000 0.0000 5.3837
Ba Se I N
1 1 1 2
Direct
0.0000 0.0000 0.0000
0.5000 0.5000 0.0000
0.5000 0.5000 0.5000
0.0000 0.5000 0.5000
0.5000 0.0000 0.5000

# 24
Tl2CuP (PBEsol, optimized geometry); magnetic moment = 0.00 μB/cell; formation energy = 462 meV/atom
1.0
-2.0339 2.6941 3.7986
2.0339 -2.6941 3.7986
2.0339 2.6941 -3.7986
Tl Cu P
2 1 1
Direct
0.2385 0.2385 0.0000
0.7615 0.7615 0.0000
0.0000 0.5000 0.5000
0.5000 0.0000 0.5000

# 25
YAgTe2 (PBEsol, optimized geometry); magnetic moment = 0.00 μB/cell; formation energy without anion corrections = -0.84 eV per atom
1.0
4.1178 0.0000 0.0000
0.0000 4.1178 0.0000
-0.0005 0.0000 6.2314
Y Ag Te
1 1 2
Direct
0.0000 0.0000 0.0000
0.4977 0.5000 0.3256
0.5000 0.5000 0.8753
0.9988 0.0000 0.4634

# 26
NiAg3Os (PBEsol, optimized geometry); magnetic moment = 2.70 μB/cell; formation energy = 2131 meV/atom
1.0
4.9165 0.0000 0.0000
0.0000 4.9165 0.0000
0.0000 0.0000 4.9165
Ni Ag Os
1 3 1
Direct
0.0000 0.0000 0.0000
0.0000 0.5000 0.5000
0.5000 0.0000 0.5000
0.5000 0.5000 0.0000
0.5000 0.5000 0.5000